Material: NiMoN2F
Method: DFT, GGA+U
State: optimized geometry

Calculated values
Total energy ... -4.84 eV per atom

```
data_NiMoN2F
_cell_length_a 3.827
_cell_length_b 3.827
_cell_length_c 3.623
_cell_angle_alpha 90.00
_cell_angle_beta 90.00
_cell_angle_gamma 90.00
_space_group_name_H-M_alt 'P 1'
_space_group_IT_number 1
_space_group_name_Hall 'P 1'
loop_
_atom_site_label
_atom_site_type_symbol
_atom_site_fract_x
_atom_site_fract_y
_atom_site_fract_z
_atom_site_occupancy
N1 N 0.000 0.500 0.000 1
N2 N 0.500 0.000 0.000 1
Mo1 Mo 0.500 0.500 0.500 1
Ni1 Ni 0.000 0.000 0.000 1
F1 F 0.000 0.000 0.500 1
```